Record 1
The following is a DFT calculation (PBE-GGA) of Y6Tl2Os after structural relaxation.

- symmetry = No. 189
- Fermi-level density of states (states/eV/cell) = 11.24
- E_form (eV/f.u.) = -2.72
- magnetization (μB per atom) = 0.0002

```
Y6Tl2Os
1.0
8.548 0.000 0.000
-4.274 7.403 0.000
0.000 0.000 3.984
Y Tl Os
6 2 1
Direct
0.000 0.388 0.000
0.000 0.759 0.500
0.241 0.241 0.500
0.388 0.000 0.000
0.612 0.612 0.000
0.759 0.000 0.500
0.333 0.667 0.500
0.667 0.333 0.500
0.000 0.000 0.000
```


Record 2
The following is a DFT calculation (PBE-GGA) of YTlOs2 after structural relaxation.

- symmetry = No. 123
- Fermi-level density of states (states/eV/cell) = 4.74
- E_form (eV/f.u.) = 1.98
- energy above the lowest structure with this stoichiometry (meV/atom) = 261
- magnetization (μB per atom) = 0.2079

```
YTlOs2
1.0
4.297 0.000 0.000
0.000 4.297 0.000
0.000 0.000 4.054
Y Tl Os
1 1 2
Direct
0.000 0.000 0.000
0.500 0.500 0.000
0.000 0.500 0.500
0.500 0.000 0.500
```


Record 3
The following is a DFT calculation (PBE-GGA) of Y6TlOs after structural relaxation.

- symmetry = No. 2
- Fermi-level density of states (states/eV/cell) = 11.14
- E_form (eV/f.u.) = 0.08
- magnetization (μB per atom) = 0.0000

```
Y6TlOs
1.0
6.897 0.000 0.000
-3.448 5.988 0.000
-3.429 -1.993 6.460
Y Tl Os
6 1 1
Direct
0.042 0.083 0.257
0.299 0.715 0.257
0.324 0.540 0.743
0.676 0.460 0.257
0.701 0.285 0.743
0.958 0.917 0.743
0.500 0.000 0.000
0.500 0.500 0.500
```


Record 4
The following is a DFT calculation (PBE-GGA) of Y4TlOs after structural relaxation.

- symmetry = No. 216
- Fermi-level density of states (states/eV/cell) = 8.56
- E_form (eV/f.u.) = 4.52
- magnetization (μB per atom) = 0.0012

```
Y4TlOs
1.0
0.000 4.262 4.262
4.262 0.000 4.262
4.262 4.262 0.000
Y Tl Os
4 1 1
Direct
0.123 0.123 0.123
0.123 0.123 0.630
0.123 0.630 0.123
0.630 0.123 0.123
0.500 0.500 0.500
0.750 0.750 0.750
```


Record 5
The following is a DFT calculation (PBE-GGA) of YTlOs2 after structural relaxation.

- symmetry = No. 99
- Fermi-level density of states (states/eV/cell) = 1.93
- E_form (eV/f.u.) = 0.94
- energy above the lowest structure with this stoichiometry (meV/atom) = 0
- magnetization (μB per atom) = 0.0073

```
YTlOs2
1.0
3.010 0.000 0.000
0.000 3.010 0.000
0.000 0.000 8.510
Y Tl Os
1 1 2
Direct
0.000 0.000 0.000
0.500 0.500 0.691
0.000 0.000 0.437
0.500 0.500 0.256
```


Record 6
The following is a DFT calculation (PBE-GGA) of Y6TlOs2 after structural relaxation.

- symmetry = No. 71
- Fermi-level density of states (states/eV/cell) = 18.59
- E_form (eV/f.u.) = -2.46
- magnetization (μB per atom) = 0.0000

```
Y6TlOs2
1.0
-4.747 4.837 5.212
4.747 -4.837 5.212
4.747 4.837 -5.212
Y Tl Os
12 2 4
Direct
0.033 0.242 0.791
0.185 0.280 0.465
0.185 0.720 0.905
0.330 0.019 0.688
0.330 0.642 0.312
0.450 0.242 0.209
0.550 0.758 0.791
0.670 0.358 0.688
0.670 0.981 0.312
0.815 0.280 0.095
0.815 0.720 0.535
0.967 0.758 0.209
0.000 0.000 0.000
0.500 0.500 0.000
0.119 0.619 0.500
0.337 0.000 0.337
0.663 0.000 0.663
0.881 0.381 0.500
```


Record 7
The following is a DFT calculation (PBE-GGA) of YTlOs2 after structural relaxation.

- symmetry = No. 47
- Fermi-level density of states (states/eV/cell) = 4.56
- E_form (eV/f.u.) = 2.61
- energy above the lowest structure with this stoichiometry (meV/atom) = 419
- magnetization (μB per atom) = 0.0001

```
YTlOs2
1.0
3.397 0.000 0.000
0.000 4.473 0.000
0.000 0.000 5.000
Y Tl Os
1 1 2
Direct
0.000 0.000 0.000
0.500 0.000 0.500
0.000 0.500 0.500
0.500 0.500 0.000
```


Record 8
The following is a DFT calculation (PBE-GGA) of YTlOs2 after structural relaxation.

- symmetry = No. 166
- Fermi-level density of states (states/eV/cell) = 3.32
- E_form (eV/f.u.) = 3.21
- energy above the lowest structure with this stoichiometry (meV/atom) = 569
- magnetization (μB per atom) = 0.0000

```
YTlOs2
1.0
1.575 0.909 9.010
-1.575 0.909 9.010
0.000 -1.819 9.010
Y Tl Os
1 1 2
Direct
0.000 0.000 0.000
0.500 0.500 0.500
0.250 0.250 0.250
0.750 0.750 0.750
```


Record 9
The following is a DFT calculation (PBE-GGA) of Y5Tl2Os after structural relaxation.

- symmetry = No. 55
- Fermi-level density of states (states/eV/cell) = 15.45
- E_form (eV/f.u.) = -2.52
- magnetization (μB per atom) = 0.0000

```
Y5Tl2Os
1.0
7.702 0.000 0.000
0.000 12.243 0.000
0.000 0.000 4.689
Y Tl Os
10 4 2
Direct
0.000 0.000 0.000
0.141 0.296 0.000
0.181 0.573 0.500
0.319 0.073 0.500
0.359 0.796 0.000
0.500 0.500 0.000
0.641 0.204 0.000
0.681 0.927 0.500
0.819 0.427 0.500
0.859 0.704 0.000
0.075 0.832 0.500
0.425 0.332 0.500
0.575 0.668 0.500
0.925 0.168 0.500
0.000 0.500 0.000
0.500 0.000 0.000
```


Record 10
The following is a DFT calculation (PBE-GGA) of YTlOs3 after structural relaxation.

- symmetry = No. 221
- Fermi-level density of states (states/eV/cell) = 4.27
- E_form (eV/f.u.) = 13.73
- energy above the lowest structure with this stoichiometry (meV/atom) = 469
- magnetization (μB per atom) = 0.8036

```
YTlOs3
1.0
4.981 0.000 0.000
0.000 4.981 0.000
0.000 0.000 4.981
Y Tl Os
1 1 3
Direct
0.000 0.000 0.000
0.500 0.500 0.500
0.000 0.000 0.500
0.000 0.500 0.000
0.500 0.000 0.000
```


Record 11
The following is a DFT calculation (PBE-GGA) of YTlOs2 after structural relaxation.

- symmetry = No. 119
- Fermi-level density of states (states/eV/cell) = 5.68
- E_form (eV/f.u.) = 2.28
- energy above the lowest structure with this stoichiometry (meV/atom) = 337
- magnetization (μB per atom) = 0.0002

```
YTlOs2
1.0
-2.066 2.066 4.415
2.066 -2.066 4.415
2.066 2.066 -4.415
Y Tl Os
1 1 2
Direct
0.000 0.000 0.000
0.750 0.250 0.500
0.250 0.750 0.500
0.500 0.500 0.000
```


Record 12
The following is a DFT calculation (PBE-GGA) of YTlOs2 after structural relaxation.

- symmetry = No. 8
- Fermi-level density of states (states/eV/cell) = 1.18
- E_form (eV/f.u.) = 1.52
- energy above the lowest structure with this stoichiometry (meV/atom) = 146
- magnetization (μB per atom) = 0.0000

```
YTlOs2
1.0
5.367 -1.534 0.000
5.367 1.534 0.000
-1.945 0.000 4.704
Y Tl Os
1 1 2
Direct
0.000 0.000 0.000
0.792 0.792 0.369
0.234 0.234 0.846
0.542 0.542 0.514
```


Record 13
The following is a DFT calculation (PBE-GGA) of YTlOs2 after structural relaxation.

- symmetry = No. 139
- Fermi-level density of states (states/eV/cell) = 6.68
- E_form (eV/f.u.) = 2.46
- energy above the lowest structure with this stoichiometry (meV/atom) = 382
- magnetization (μB per atom) = 0.0593

```
YTlOs2
1.0
-2.138 2.138 4.163
2.138 -2.138 4.163
2.138 2.138 -4.163
Y Tl Os
1 1 2
Direct
0.000 0.000 0.000
0.500 0.500 0.000
0.250 0.750 0.500
0.750 0.250 0.500
```


Record 14
The following is a DFT calculation (PBE-GGA) of YTlOs2 after structural relaxation.

- symmetry = No. 160
- Fermi-level density of states (states/eV/cell) = 3.94
- E_form (eV/f.u.) = 2.63
- energy above the lowest structure with this stoichiometry (meV/atom) = 424
- magnetization (μB per atom) = 0.0896

```
YTlOs2
1.0
1.515 0.875 9.737
-1.515 0.875 9.737
0.000 -1.750 9.737
Y Tl Os
1 1 2
Direct
0.000 0.000 0.000
0.236 0.236 0.236
0.486 0.486 0.486
0.752 0.752 0.752
```


Record 15
The following is a DFT calculation (PBE-GGA) of YTlOs2 after structural relaxation.

- symmetry = No. 122
- Fermi-level density of states (states/eV/cell) = 7.39
- E_form (eV/f.u.) = 4.28
- energy above the lowest structure with this stoichiometry (meV/atom) = 837
- magnetization (μB per atom) = 0.0000

```
YTlOs2
1.0
-3.880 3.880 2.790
3.880 -3.880 2.790
3.880 3.880 -2.790
Y Tl Os
2 2 4
Direct
0.000 0.000 0.000
0.750 0.250 0.500
0.250 0.750 0.500
0.500 0.500 0.000
0.138 0.625 0.013
0.375 0.388 0.513
0.612 0.125 0.987
0.875 0.862 0.487
```


Record 16
The following is a DFT calculation (PBE-GGA) of Y8Tl2Os after structural relaxation.

- symmetry = No. 12
- Fermi-level density of states (states/eV/cell) = 10.26
- E_form (eV/f.u.) = -2.33
- magnetization (μB per atom) = 0.0000

```
Y8Tl2Os
1.0
9.280 -2.636 0.000
9.280 2.636 0.000
-2.562 0.000 6.409
Y Tl Os
8 2 1
Direct
0.017 0.017 0.242
0.203 0.203 0.101
0.352 0.352 0.671
0.410 0.410 0.250
0.590 0.590 0.750
0.648 0.648 0.329
0.797 0.797 0.899
0.983 0.983 0.758
0.175 0.175 0.630
0.825 0.825 0.370
0.500 0.500 0.000
```


Record 17
The following is a DFT calculation (PBE-GGA) of YTlOs3 after structural relaxation.

- symmetry = No. 221
- Fermi-level density of states (states/eV/cell) = 8.62
- E_form (eV/f.u.) = 11.39
- energy above the lowest structure with this stoichiometry (meV/atom) = 0
- magnetization (μB per atom) = 0.1711

```
YTlOs3
1.0
4.921 0.000 0.000
0.000 4.921 0.000
0.000 0.000 4.921
Y Tl Os
1 1 3
Direct
0.000 0.000 0.000
0.500 0.500 0.500
0.000 0.500 0.500
0.500 0.000 0.500
0.500 0.500 0.000
```


Record 18
The following is a DFT calculation (PBE-GGA) of YTlOs2 after structural relaxation.

- symmetry = No. 12
- Fermi-level density of states (states/eV/cell) = 2.97
- E_form (eV/f.u.) = 2.53
- energy above the lowest structure with this stoichiometry (meV/atom) = 398
- magnetization (μB per atom) = 0.0000

```
YTlOs2
1.0
3.003 -4.723 0.000
3.003 4.723 0.000
-1.371 0.000 2.648
Y Tl Os
1 1 2
Direct
0.000 0.000 0.000
0.500 0.500 0.000
0.000 0.500 0.500
0.500 0.000 0.500
```


Record 19
The following is a DFT calculation (PBE-GGA) of YTlOs2 after structural relaxation.

- symmetry = No. 65
- Fermi-level density of states (states/eV/cell) = 5.13
- E_form (eV/f.u.) = 3.16
- energy above the lowest structure with this stoichiometry (meV/atom) = 556
- magnetization (μB per atom) = 0.0007

```
YTlOs2
1.0
1.654 -2.491 0.000
1.654 2.491 0.000
0.000 0.000 9.292
Y Tl Os
1 1 2
Direct
0.000 0.000 0.000
0.000 0.000 0.500
0.500 0.500 0.245
0.500 0.500 0.755
```


Record 20
The following is a DFT calculation (PBE-GGA) of YTlOs2 after structural relaxation.

- symmetry = No. 10
- Fermi-level density of states (states/eV/cell) = 1.46
- E_form (eV/f.u.) = 1.91
- energy above the lowest structure with this stoichiometry (meV/atom) = 243
- magnetization (μB per atom) = 0.0000

```
YTlOs2
1.0
3.192 0.000 0.000
0.000 4.586 0.000
-0.402 0.000 5.761
Y Tl Os
1 1 2
Direct
0.000 0.000 0.000
0.500 0.000 0.500
0.457 0.500 0.798
0.543 0.500 0.202
```


Record 21
The following is a DFT calculation (PBE-GGA) of TlZn3Os after structural relaxation.

- symmetry = No. 221
- Fermi-level density of states (states/eV/cell) = 3.53
- E_form (eV/f.u.) = 2.42
- energy above the lowest structure with this stoichiometry (meV/atom) = 0
- magnetization (μB per atom) = 0.0000

```
TlZn3Os
1.0
4.881 0.000 0.000
0.000 4.881 0.000
0.000 0.000 4.881
Tl Zn Os
1 3 1
Direct
0.000 0.000 0.000
0.000 0.500 0.500
0.500 0.000 0.500
0.500 0.500 0.000
0.500 0.500 0.500
```


Record 22
The following is a DFT calculation (PBE-GGA) of TlZnOs3 after structural relaxation.

- symmetry = No. 221
- Fermi-level density of states (states/eV/cell) = 4.93
- E_form (eV/f.u.) = 15.92
- energy above the lowest structure with this stoichiometry (meV/atom) = 1143
- magnetization (μB per atom) = 0.9894

```
TlZnOs3
1.0
4.964 0.000 0.000
0.000 4.964 0.000
0.000 0.000 4.964
Tl Zn Os
1 1 3
Direct
0.000 0.000 0.000
0.500 0.500 0.500
0.000 0.000 0.500
0.000 0.500 0.000
0.500 0.000 0.000
```


Record 23
The following is a DFT calculation (PBE-GGA) of TlZn4Os after structural relaxation.

- symmetry = No. 216
- Fermi-level density of states (states/eV/cell) = 4.75
- E_form (eV/f.u.) = 2.32
- magnetization (μB per atom) = 0.0000

```
TlZn4Os
1.0
0.000 3.608 3.608
3.608 0.000 3.608
3.608 3.608 0.000
Tl Zn Os
1 4 1
Direct
0.000 0.000 0.000
0.128 0.624 0.624
0.624 0.128 0.624
0.624 0.624 0.128
0.624 0.624 0.624
0.250 0.250 0.250
```


Record 24
The following is a DFT calculation (PBE-GGA) of TlZnOs3 after structural relaxation.

- symmetry = No. 221
- Fermi-level density of states (states/eV/cell) = 7.00
- E_form (eV/f.u.) = 10.20
- energy above the lowest structure with this stoichiometry (meV/atom) = 0
- magnetization (μB per atom) = 0.5180

```
TlZnOs3
1.0
4.558 0.000 0.000
0.000 4.558 0.000
0.000 0.000 4.558
Tl Zn Os
1 1 3
Direct
0.000 0.000 0.000
0.500 0.500 0.500
0.000 0.500 0.500
0.500 0.000 0.500
0.500 0.500 0.000
```


Record 25
The following is a DFT calculation (PBE-GGA) of TlZn4Os2 after structural relaxation.

- symmetry = No. 139
- Fermi-level density of states (states/eV/cell) = 6.28
- E_form (eV/f.u.) = 8.70
- magnetization (μB per atom) = 0.0000

```
TlZn4Os2
1.0
-2.502 2.502 6.510
2.502 -2.502 6.510
2.502 2.502 -6.510
Tl Zn Os
1 4 2
Direct
0.000 0.000 0.000
0.000 0.500 0.500
0.214 0.214 0.000
0.500 0.000 0.500
0.786 0.786 0.000
0.412 0.412 0.000
0.588 0.588 0.000
```


Record 26
The following is a DFT calculation (PBE-GGA) of ZrTlOs2 after structural relaxation.

- symmetry = No. 225
- Fermi-level density of states (states/eV/cell) = 4.72
- E_form (eV/f.u.) = 1.25
- energy above the lowest structure with this stoichiometry (meV/atom) = 93
- magnetization (μB per atom) = 0.0000

```
ZrTlOs2
1.0
0.000 3.291 3.291
3.291 0.000 3.291
3.291 3.291 0.000
Zr Tl Os
1 1 2
Direct
0.000 0.000 0.000
0.500 0.500 0.500
0.250 0.250 0.250
0.750 0.750 0.750
```


Record 27
The following is a DFT calculation (PBE-GGA) of Zr6TlOs after structural relaxation.

- symmetry = No. 148
- Fermi-level density of states (states/eV/cell) = 8.06
- E_form (eV/f.u.) = -1.16
- magnetization (μB per atom) = 0.0000

```
Zr6TlOs
1.0
4.097 2.366 2.999
-4.097 2.366 2.999
0.000 -4.731 2.999
Zr Tl Os
6 1 1
Direct
0.019 0.764 0.552
0.236 0.448 0.981
0.448 0.981 0.236
0.552 0.019 0.764
0.764 0.552 0.019
0.981 0.236 0.448
0.500 0.500 0.500
0.000 0.000 0.000
```